1.
Entry from the Alexandria database: Ba2SbAs at its PBEsol-relaxed geometry (meta-GGA SCAN).

Values from the calculation:
distance to the lowest polymorph of the same formula	293	meV/atom
magnetic moment	0.00	μB per formula unit
N(E_F)	0.56	states/eV/atom
formation energy from raw total energies	-798	meV/atom

Structure (CIF):
```
data_Ba2SbAs
_cell_length_a 9.039
_cell_length_b 9.039
_cell_length_c 6.762
_cell_angle_alpha 90.00
_cell_angle_beta 90.00
_cell_angle_gamma 90.00
_space_group_name_H-M_alt 'I -4 2 d'
_space_group_IT_number 122
_space_group_name_Hall 'I -4 2bw'
loop_
_atom_site_label
_atom_site_fract_x
_atom_site_fract_y
_atom_site_fract_z
_atom_site_occupancy
Ba1 0.223 0.750 0.125 1
Sb1 0.000 0.000 0.500 1
As1 0.000 0.000 0.000 1
```


2.
Entry from the Alexandria database: ScCuBr2 at its PBEsol-relaxed geometry (meta-GGA SCAN).

Values from the calculation:
distance to the lowest polymorph of the same formula	0	meV/atom
magnetic moment	0.00	μB per formula unit
N(E_F)	0.23	states/eV/atom
formation energy from raw total energies	-767	meV/atom

Structure (CIF):
```
data_ScCuBr2
_cell_length_a 3.439
_cell_length_b 4.386
_cell_length_c 13.517
_cell_angle_alpha 90.00
_cell_angle_beta 90.00
_cell_angle_gamma 90.00
_space_group_name_H-M_alt 'I m m m'
_space_group_IT_number 71
_space_group_name_Hall '-I 2 2'
loop_
_atom_site_label
_atom_site_fract_x
_atom_site_fract_y
_atom_site_fract_z
_atom_site_occupancy
Sc1 0.000 0.000 0.000 1
Cu1 0.000 0.000 0.500 1
Br1 0.000 0.500 0.351 1
```


3.
Entry from the Alexandria database: CrRh2 at its PBEsol-relaxed geometry (meta-GGA SCAN).

Values from the calculation:
magnetic moment	0.00	μB per formula unit
N(E_F)	0.85	states/eV/atom
energy of formation from the pure elements	-97	meV per atom

Structure (CIF):
```
data_CrRh2
_cell_length_a 2.647
_cell_length_b 2.647
_cell_length_c 10.902
_cell_angle_alpha 90.00
_cell_angle_beta 90.00
_cell_angle_gamma 90.00
_space_group_name_H-M_alt 'I 4/m m m'
_space_group_IT_number 139
_space_group_name_Hall '-I 4 2'
loop_
_atom_site_label
_atom_site_fract_x
_atom_site_fract_y
_atom_site_fract_z
_atom_site_occupancy
Cr1 0.000 0.000 0.000 1
Rh1 0.000 0.000 0.343 1
```